# 1
VASP calculation (PBE-GGA) on crystalline YCrSbI2 at its relaxed geometry.

```
YCrSbI2
1.0
-3.9701 -2.5710 2.3885
3.4927 -2.5446 3.0664
-0.3613 4.1042 3.8173
Cr I Y Sb
1 2 1 1
Direct
0.0000 0.0000 0.0000 Cr
0.0000 0.5000 0.0000 I
0.5000 0.0000 0.0000 I
0.5000 0.5000 0.5000 Y
0.0000 0.0000 0.5000 Sb
```

- density of states at the Fermi level (states/eV/f.u.) = 2.202
- energy relative to the elements, uncorrected (eV per formula unit) = 0.2
- E above lowest polymorph (meV/atom) = 0
- uncorrected energy (eV/cell) = -23.16
- symmetry = P4/mmm (123)

---

# 2
VASP calculation (PBE-GGA) on crystalline YHfMo2 at its relaxed geometry.

```
YHfMo2
1.0
7.5417 0.0000 0.0000
0.0000 7.5417 0.0000
3.7709 3.7709 2.9420
Hf Y Mo
2 2 4
Direct
0.0000 0.0000 0.0000 Hf
0.7500 0.2500 0.5000 Hf
0.2500 0.7500 0.5000 Y
0.5000 0.5000 0.0000 Y
0.8750 0.8914 0.7500 Mo
0.1086 0.6250 0.2500 Mo
0.6414 0.1250 0.2500 Mo
0.3750 0.3586 0.7500 Mo
```

- density of states at the Fermi level (states/eV/f.u.) = 5.608
- calculated formation energy (eV per atom) = 0.859
- E above lowest polymorph (meV/atom) = 495
- uncorrected energy (eV/cell) = -69.29
- symmetry = I-42d (122)

---

# 3
VASP calculation (PBE-GGA) on crystalline Li2AcEr2In2 at its relaxed geometry.

```
Li2AcEr2In2
1.0
4.9478 0.0000 0.0000
2.4739 4.2849 0.0000
2.4739 1.4283 9.2100
Er Li In Ac
2 2 2 1
Direct
0.8680 0.8680 0.3961 Er
0.1320 0.1320 0.6039 Er
0.5795 0.5795 0.2616 Li
0.4205 0.4205 0.7384 Li
0.2520 0.2520 0.2440 In
0.7480 0.7480 0.7560 In
0.0000 0.0000 0.0000 Ac
```

- density of states at the Fermi level (states/eV/f.u.) = 5.735
- calculated formation energy (eV per atom) = -0.239
- uncorrected energy (eV/cell) = -24.21
- symmetry = R-3m (166)

---

# 4
VASP calculation (PBE-GGA) on crystalline TiHBr at its relaxed geometry.

```
TiHBr
1.0
-2.3809 -3.8480 -2.7914
1.8858 -3.4599 3.1610
-5.5644 0.5275 4.0190
H Ti Br
4 4 4
Direct
0.2128 0.9042 0.1017 H
0.7128 0.0958 0.3983 H
0.2872 0.9042 0.6017 H
0.7872 0.0958 0.8983 H
0.0594 0.8848 0.8313 Ti
0.4406 0.8848 0.3313 Ti
0.5594 0.1152 0.6687 Ti
0.9406 0.1152 0.1687 Ti
0.7630 0.6300 0.1202 Br
0.2370 0.3700 0.8798 Br
0.7370 0.6300 0.6202 Br
0.2630 0.3700 0.3798 Br
```

- density of states at the Fermi level (states/eV/f.u.) = 1.516
- uncorrected energy (eV/cell) = -56.75
- symmetry = P2_1/c (14)

---

# 5
VASP calculation (PBE-GGA) on crystalline Cs2RbPb2 at its relaxed geometry.

```
Cs2RbPb2
1.0
4.6300 0.0000 0.0000
0.0000 4.6300 0.0000
2.3150 2.3150 15.1588
Pb Cs Rb
2 2 1
Direct
0.7500 0.2500 0.5000 Pb
0.2500 0.7500 0.5000 Pb
0.3597 0.3597 0.2807 Cs
0.6403 0.6403 0.7193 Cs
0.0000 0.0000 0.0000 Rb
```

- density of states at the Fermi level (states/eV/f.u.) = 5.555
- calculated formation energy (eV per atom) = 0.019
- E above lowest polymorph (meV/atom) = 123
- uncorrected energy (eV/cell) = -9.99
- symmetry = I4/mmm (139)

---

# 6
VASP calculation (PBE-GGA) on crystalline LiAcH3 at its relaxed geometry.

```
LiAcH3
1.0
4.2585 0.0000 0.0000
0.0000 5.0680 0.0000
-2.1292 0.0000 6.3076
Ac H Li
2 6 2
Direct
0.6430 0.2500 0.2861 Ac
0.3570 0.7500 0.7140 Ac
0.8163 0.9949 0.6325 H
0.1837 0.4949 0.3675 H
0.4306 0.2500 0.8613 H
0.1837 0.0051 0.3675 H
0.5694 0.7500 0.1387 H
0.8163 0.5051 0.6325 H
0.0832 0.7500 0.1663 Li
0.9168 0.2500 0.8337 Li
```

- density of states at the Fermi level (states/eV/f.u.) = 1.197
- E above lowest polymorph (meV/atom) = 0
- uncorrected energy (eV/cell) = -36.72
- symmetry = Cmcm (63)